(1)
Compound: Y2NbO4
Source: the Open Quantum Materials Database
Functional: PBE-GGA
Structure: relaxed

Output
total energy: -8.670 eV per atom
magnetization: 2.95 Bohr magnetons per cell

Unit cell a=6.6316 b=6.6316 c=6.6316 alpha=119.97 beta=119.97 gamma=90.05
Last column: nearest neighbours and their distance in Å.
Positions (direct):
1 Y 0.0000 0.0000 0.0000  6 O 2.34
2 Y 0.0000 0.0000 0.5000  6 O 2.34
3 Y 0.0000 0.5000 0.0000  6 O 2.34
4 Y 0.5000 0.0000 0.5000  6 O 2.34
5 Nb 0.3750 0.6250 0.7500  4 O 2.04
6 Nb 0.6250 0.3750 0.2500  4 O 2.04
7 O 0.2485 0.2495 0.9990  1 Nb 2.04
8 O 0.2495 0.7505 0.4990  1 Nb 2.04
9 O 0.2495 0.2485 0.4990  1 Nb 2.04
10 O 0.2495 0.7505 0.0010  1 Nb 2.04
11 O 0.7505 0.2495 0.9990  1 Nb 2.04
12 O 0.7505 0.7515 0.5010  1 Nb 2.04
13 O 0.7505 0.2495 0.5010  1 Nb 2.04
14 O 0.7515 0.7505 0.0010  1 Nb 2.04

(2)
Compound: Y2Nb2O5
Source: the Open Quantum Materials Database
Functional: PBE-GGA
Structure: relaxed

Output
total energy: -8.594 eV per atom
magnetization: 0.03 Bohr magnetons per cell

Unit cell a=3.5100 b=3.5100 c=9.8601 alpha=90.00 beta=90.00 gamma=90.00
Last column: nearest neighbours and their distance in Å.
Positions (direct):
1 Y 0.0000 0.0000 0.2368  5 O 2.23-2.33
2 Y 0.0000 0.0000 0.7632  5 O 2.23-2.33
3 Nb 0.5000 0.5000 0.0000  4 O 2.48
4 Nb 0.5000 0.5000 0.5000  8 O 2.13
5 O 0.0000 0.0000 0.0000  2 Y 2.33, 4 Nb 2.48
6 O 0.0000 0.5000 0.3771  2 Nb 2.13, 2 Y 2.23
7 O 0.0000 0.5000 0.6229  2 Nb 2.13, 2 Y 2.23
8 O 0.5000 0.0000 0.3771  2 Nb 2.13, 2 Y 2.23
9 O 0.5000 0.0000 0.6229  2 Nb 2.13, 2 Y 2.23

(3)
Compound: Y2Nb2O5
Source: the Open Quantum Materials Database
Functional: PBE-GGA
Structure: relaxed

Output
total energy: -8.733 eV per atom
magnetization: 0.00 Bohr magnetons per cell

Unit cell a=4.0478 b=4.0478 c=7.0266 alpha=90.00 beta=90.00 gamma=90.00
Last column: nearest neighbours and their distance in Å.
Positions (direct):
1 Y 0.0000 0.0000 0.0000  8 O 2.67
2 Y 0.0000 0.0000 0.5000  12 O 2.69-2.86
3 Nb 0.5000 0.5000 0.1940  5 O 2.06-2.15
4 Nb 0.5000 0.5000 0.8060  5 O 2.06-2.15
5 O 0.0000 0.5000 0.2477  2 Nb 2.06
6 O 0.0000 0.5000 0.7523  2 Nb 2.06
7 O 0.5000 0.0000 0.2477  2 Nb 2.06
8 O 0.5000 0.0000 0.7523  2 Nb 2.06
9 O 0.5000 0.5000 0.5000  2 Nb 2.15

(4)
Compound: Nb2Zn2O5
Source: the Open Quantum Materials Database
Functional: PBE-GGA
Structure: relaxed

Output
total energy: -6.461 eV per atom
magnetization: 3.19 Bohr magnetons per cell

Unit cell a=3.4994 b=3.4994 c=8.6919 alpha=90.00 beta=90.00 gamma=90.00
Last column: nearest neighbours and their distance in Å.
Positions (direct):
1 Nb 0.0000 0.0000 0.0000  4 O 2.47
2 Nb 0.0000 0.0000 0.5000  8 O 2.13
3 Zn 0.5000 0.5000 0.2418  5 O 2.03-2.10
4 Zn 0.5000 0.5000 0.7582  5 O 2.03-2.10
5 O 0.0000 0.5000 0.3602  2 Zn 2.03, 2 Nb 2.13
6 O 0.0000 0.5000 0.6398  2 Zn 2.03, 2 Nb 2.13
7 O 0.5000 0.0000 0.3602  2 Zn 2.03, 2 Nb 2.13
8 O 0.5000 0.0000 0.6398  2 Zn 2.03, 2 Nb 2.13
9 O 0.5000 0.5000 0.0000  2 Zn 2.10

(5)
Compound: NbZnO3
Source: the Open Quantum Materials Database
Functional: PBE-GGA
Structure: relaxed

Output
total energy: -6.992 eV per atom
magnetization: 0.02 Bohr magnetons per cell

Unit cell a=3.9182 b=3.9182 c=4.1701 alpha=90.00 beta=90.00 gamma=90.00
Last column: nearest neighbours and their distance in Å.
Positions (direct):
1 Nb 0.0000 0.0000 0.0000  5 O 1.81-2.02
2 Zn 0.5000 0.5000 0.3953  4 O 2.27
3 O 0.0000 0.0000 0.5650  1 Nb 1.81
4 O 0.0000 0.5000 0.1203  2 Nb 2.02
5 O 0.5000 0.0000 0.1203  2 Nb 2.02

(6)
Compound: Nb2ZnO6
Source: the Open Quantum Materials Database
Functional: PBE-GGA
Structure: relaxed

Output
total energy: -7.981 eV per atom
magnetization: 0.00 Bohr magnetons per cell

Unit cell a=14.2421 b=5.7477 c=5.0426 alpha=90.00 beta=90.00 gamma=90.00
Last column: nearest neighbours and their distance in Å.
Positions (direct):
1 Nb 0.1596 0.1848 0.2503  3 O 1.83-1.97
2 Nb 0.1596 0.8152 0.7503  3 O 1.83-1.97
3 Nb 0.3404 0.3152 0.7503  3 O 1.83-1.97
4 Nb 0.3404 0.6848 0.2503  3 O 1.83-1.97
5 Nb 0.6596 0.3152 0.7497  3 O 1.83-1.97
6 Nb 0.6596 0.6848 0.2497  3 O 1.83-1.97
7 Nb 0.8404 0.1848 0.2497  3 O 1.83-1.97
8 Nb 0.8404 0.8152 0.7497  3 O 1.83-1.97
9 Zn 0.0000 0.3293 0.7500  6 O 2.06-2.15
10 Zn 0.0000 0.6707 0.2500  6 O 2.06-2.15
11 Zn 0.5000 0.1707 0.2500  6 O 2.06-2.15
12 Zn 0.5000 0.8293 0.7500  6 O 2.06-2.15
13 O 0.0794 0.3872 0.0853  1 Nb 1.83
14 O 0.0794 0.6128 0.5853  1 Nb 1.83
15 O 0.0944 0.1044 0.5751  2 Nb 1.94-2.10, 1 Zn 2.06
16 O 0.0944 0.8956 0.0751  2 Nb 1.94-2.10, 1 Zn 2.06
17 O 0.2446 0.1207 0.9226  2 Nb 1.97-2.08
18 O 0.2446 0.8793 0.4226  2 Nb 1.97-2.08
19 O 0.2554 0.3793 0.4226  2 Nb 1.97-2.08
20 O 0.2554 0.6207 0.9226  2 Nb 1.97-2.08
21 O 0.4056 0.3956 0.0751  2 Nb 1.94-2.10, 1 Zn 2.06
22 O 0.4056 0.6044 0.5751  2 Nb 1.94-2.10, 1 Zn 2.06
23 O 0.4206 0.1128 0.5853  1 Nb 1.83
24 O 0.4206 0.8872 0.0853  1 Nb 1.83
25 O 0.5794 0.1128 0.9147  1 Nb 1.83
26 O 0.5794 0.8872 0.4147  1 Nb 1.83
27 O 0.5944 0.3956 0.4249  2 Nb 1.94-2.10, 1 Zn 2.06
28 O 0.5944 0.6044 0.9249  2 Nb 1.94-2.10, 1 Zn 2.06
29 O 0.7446 0.3793 0.0774  2 Nb 1.97-2.08
30 O 0.7446 0.6207 0.5774  2 Nb 1.97-2.08
31 O 0.7554 0.1207 0.5774  2 Nb 1.97-2.08
32 O 0.7554 0.8793 0.0774  2 Nb 1.97-2.08
33 O 0.9056 0.1044 0.9249  2 Nb 1.94-2.10, 1 Zn 2.06
34 O 0.9056 0.8956 0.4249  2 Nb 1.94-2.10, 1 Zn 2.06
35 O 0.9206 0.3872 0.4147  1 Nb 1.83
36 O 0.9206 0.6128 0.9147  1 Nb 1.83

(7)
Compound: NbZnO3
Source: the Open Quantum Materials Database
Functional: PBE-GGA
Structure: relaxed

Output
total energy: -7.145 eV per atom
magnetization: 1.86 Bohr magnetons per cell

Unit cell a=5.4442 b=5.4442 c=5.4442 alpha=59.49 beta=59.49 gamma=59.49
Last column: nearest neighbours and their distance in Å.
Positions (direct):
1 Nb 0.0000 0.0000 0.0000  6 O 2.06
2 Nb 0.5000 0.5000 0.5000  6 O 2.06
3 Zn 0.2500 0.2500 0.2500  3 O 1.96
4 Zn 0.7500 0.7500 0.7500  3 O 1.96
5 O 0.1128 0.7500 0.3872  1 Zn 1.96, 2 Nb 2.06
6 O 0.2500 0.6128 0.8872  1 Zn 1.96, 2 Nb 2.06
7 O 0.3872 0.1128 0.7500  1 Zn 1.96, 2 Nb 2.06
8 O 0.6128 0.8872 0.2500  1 Zn 1.96, 2 Nb 2.06
9 O 0.7500 0.3872 0.1128  1 Zn 1.96, 2 Nb 2.06
10 O 0.8872 0.2500 0.6128  1 Zn 1.96, 2 Nb 2.06

(8)
Compound: NbZnO3
Source: the Open Quantum Materials Database
Functional: PBE-GGA
Structure: relaxed

Output
total energy: -7.114 eV per atom
magnetization: 3.99 Bohr magnetons per cell

Unit cell a=5.3214 b=7.7646 c=5.3431 alpha=90.00 beta=90.00 gamma=90.00
Last column: nearest neighbours and their distance in Å.
Positions (direct):
1 Nb 0.0000 0.0000 0.0000  6 O 2.03-2.11
2 Nb 0.0000 0.5000 0.0000  6 O 2.03-2.11
3 Nb 0.5000 0.0000 0.5000  6 O 2.03-2.11
4 Nb 0.5000 0.5000 0.5000  6 O 2.03-2.11
5 Zn 0.0320 0.2500 0.4910  4 O 2.03-2.13
6 Zn 0.4680 0.7500 0.9910  4 O 2.03-2.13
7 Zn 0.5320 0.2500 0.0090  4 O 2.03-2.13
8 Zn 0.9680 0.7500 0.5090  4 O 2.03-2.13
9 O 0.0859 0.7500 0.8737  2 Zn 2.05-2.13, 2 Nb 2.11
10 O 0.1743 0.5679 0.3306  2 Nb 2.03-2.06, 1 Zn 2.03
11 O 0.1743 0.9321 0.3306  2 Nb 2.03-2.06, 1 Zn 2.03
12 O 0.3257 0.0679 0.8306  2 Nb 2.03-2.06, 1 Zn 2.03
13 O 0.3257 0.4321 0.8306  2 Nb 2.03-2.06, 1 Zn 2.03
14 O 0.4141 0.2500 0.3737  2 Zn 2.05-2.13, 2 Nb 2.11
15 O 0.5859 0.7500 0.6263  2 Zn 2.05-2.13, 2 Nb 2.11
16 O 0.6743 0.5679 0.1694  2 Nb 2.03-2.06, 1 Zn 2.03
17 O 0.6743 0.9321 0.1694  2 Nb 2.03-2.06, 1 Zn 2.03
18 O 0.8257 0.0679 0.6694  2 Nb 2.03-2.06, 1 Zn 2.03
19 O 0.8257 0.4321 0.6694  2 Nb 2.03-2.06, 1 Zn 2.03
20 O 0.9141 0.2500 0.1263  2 Zn 2.05-2.13, 2 Nb 2.11

(9)
Compound: Zr2Nb2O5
Source: the Open Quantum Materials Database
Functional: PBE-GGA
Structure: relaxed

Output
total energy: -8.977 eV per atom
magnetization: 1.06 Bohr magnetons per cell

Unit cell a=3.4597 b=3.4597 c=9.3962 alpha=90.00 beta=90.00 gamma=90.00
Last column: nearest neighbours and their distance in Å.
Positions (direct):
1 Zr 0.0000 0.0000 0.2283  5 O 2.15-2.18
2 Zr 0.0000 0.0000 0.7717  5 O 2.15-2.18
3 Nb 0.5000 0.5000 0.0000  4 O 2.45
4 Nb 0.5000 0.5000 0.5000  8 O 2.12
5 O 0.0000 0.0000 0.0000  2 Zr 2.15
6 O 0.0000 0.5000 0.3691  2 Nb 2.12, 2 Zr 2.18
7 O 0.0000 0.5000 0.6309  2 Nb 2.12, 2 Zr 2.18
8 O 0.5000 0.0000 0.3691  2 Nb 2.12, 2 Zr 2.18
9 O 0.5000 0.0000 0.6309  2 Nb 2.12, 2 Zr 2.18

(10)
Compound: ZrNbO3
Source: the Open Quantum Materials Database
Functional: PBE-GGA
Structure: relaxed

Output
total energy: -8.994 eV per atom
magnetization: 0.46 Bohr magnetons per cell

Unit cell a=6.1897 b=7.1580 c=5.1758 alpha=90.00 beta=90.00 gamma=90.00
Last column: nearest neighbours and their distance in Å.
Positions (direct):
1 Zr 0.0000 0.0000 0.0000  6 O 2.16-2.22
2 Zr 0.0000 0.5000 0.0000  6 O 2.16-2.22
3 Zr 0.5000 0.0000 0.5000  6 O 2.16-2.22
4 Zr 0.5000 0.5000 0.5000  6 O 2.16-2.22
5 Nb 0.0674 0.2500 0.4984  4 O 2.09-2.12
6 Nb 0.4326 0.7500 0.9984  4 O 2.09-2.12
7 Nb 0.5674 0.2500 0.0016  4 O 2.09-2.12
8 Nb 0.9326 0.7500 0.5016  4 O 2.09-2.12
9 O 0.1295 0.7500 0.1747  2 Nb 2.09, 2 Zr 2.16
10 O 0.1635 0.5527 0.6318  2 Nb 2.12-2.35, 2 Zr 2.19-2.22
11 O 0.1635 0.9473 0.6318  2 Nb 2.12-2.35, 2 Zr 2.19-2.22
12 O 0.3365 0.0527 0.1318  2 Nb 2.12-2.35, 2 Zr 2.19-2.22
13 O 0.3365 0.4473 0.1318  2 Nb 2.12-2.35, 2 Zr 2.19-2.22
14 O 0.3705 0.2500 0.6747  2 Nb 2.09, 2 Zr 2.16
15 O 0.6295 0.7500 0.3253  2 Nb 2.09, 2 Zr 2.16
16 O 0.6635 0.5527 0.8682  2 Nb 2.12-2.35, 2 Zr 2.19-2.22
17 O 0.6635 0.9473 0.8682  2 Nb 2.12-2.35, 2 Zr 2.19-2.22
18 O 0.8365 0.0527 0.3682  2 Nb 2.12-2.35, 2 Zr 2.19-2.22
19 O 0.8365 0.4473 0.3682  2 Nb 2.12-2.35, 2 Zr 2.19-2.22
20 O 0.8705 0.2500 0.8253  2 Nb 2.09, 2 Zr 2.16

(11)
Compound: Zr2NbO4
Source: the Open Quantum Materials Database
Functional: PBE-GGA
Structure: relaxed

Output
total energy: -8.914 eV per atom
magnetization: 2.54 Bohr magnetons per cell

Unit cell a=6.4296 b=6.4296 c=6.4296 alpha=60.00 beta=60.00 gamma=60.00
Last column: nearest neighbours and their distance in Å.
Positions (direct):
1 Zr 0.0000 0.0000 0.0000  6 O 2.25
2 Zr 0.0000 0.0000 0.5000  6 O 2.25
3 Zr 0.0000 0.5000 0.0000  6 O 2.25
4 Zr 0.5000 0.0000 0.0000  6 O 2.25
5 Nb 0.3750 0.3750 0.3750  4 O 2.02
6 Nb 0.6250 0.6250 0.6250  4 O 2.02
7 O 0.2408 0.7531 0.7531  1 Nb 2.02, 3 Zr 2.25
8 O 0.2469 0.2469 0.2469  1 Nb 2.02, 3 Zr 2.25
9 O 0.2469 0.2469 0.7592  1 Nb 2.02, 3 Zr 2.25
10 O 0.2469 0.7592 0.2469  1 Nb 2.02, 3 Zr 2.25
11 O 0.7531 0.2408 0.7531  1 Nb 2.02, 3 Zr 2.25
12 O 0.7531 0.7531 0.2408  1 Nb 2.02, 3 Zr 2.25
13 O 0.7531 0.7531 0.7531  1 Nb 2.02, 3 Zr 2.25
14 O 0.7592 0.2469 0.2469  1 Nb 2.02, 3 Zr 2.25

(12)
Compound: Zr2Nb2O5
Source: the Open Quantum Materials Database
Functional: PBE-GGA
Structure: relaxed

Output
total energy: -8.711 eV per atom
magnetization: 0.00 Bohr magnetons per cell

Unit cell a=4.0355 b=4.0355 c=6.6720 alpha=90.00 beta=90.00 gamma=90.00
Last column: nearest neighbours and their distance in Å.
Positions (direct):
1 Zr 0.0000 0.0000 0.0000  8 O 2.64
2 Zr 0.0000 0.0000 0.5000  12 O 2.59-2.85
3 Nb 0.5000 0.5000 0.1926  5 O 2.05-2.06
4 Nb 0.5000 0.5000 0.8074  5 O 2.05-2.06
5 O 0.0000 0.5000 0.2556  2 Nb 2.06
6 O 0.0000 0.5000 0.7444  2 Nb 2.06
7 O 0.5000 0.0000 0.2556  2 Nb 2.06
8 O 0.5000 0.0000 0.7444  2 Nb 2.06
9 O 0.5000 0.5000 0.5000  2 Nb 2.05